Entry 1:
NaCa2Cr2N4 | PBE | optimized geometry

```
NaCa2Cr2N4
1.0
-2.7057 -1.4586 1.0292
-0.1417 -0.7746 -6.5752
3.2975 -4.1431 2.7974
N Ca Cr Na
4 2 2 1
Cartesian
-0.0299 -1.4566 -2.1431
0.4800 -4.9197 -0.6055
-0.5665 -2.4007 -4.8919
1.0166 -3.9756 2.1432
-0.8615 -3.8848 -2.6657
1.3116 -2.4915 -0.0830
1.3389 -5.3114 1.0971
-0.8888 -1.0649 -3.8458
0.0000 0.0000 0.0000
```

## Properties
Space-group type   C2/m
Energy relative to the elements, uncorrected   -0.590 eV per atom
DOS(E_F)   4.652 states/eV per cell


Entry 2:
Ca4Np3CrN8 | PBE | optimized geometry

```
Ca4Np3CrN8
1.0
-1.3761 1.3011 -6.5319
-5.5156 -4.1155 0.3422
0.6444 5.1234 4.4253
Ca N Np Cr
4 8 3 1
Cartesian
-0.6880 0.6506 -3.2660
-0.3658 3.2123 -1.0533
0.0000 0.0000 0.0000
0.3222 2.5617 2.2126
-4.6908 0.4583 -2.4610
-2.2949 2.4877 -2.5615
-2.6146 -0.0589 -4.7606
-4.3165 3.0145 -0.2494
-3.6327 2.3680 2.9962
-1.5565 1.8507 0.6966
-1.9308 -0.7054 -1.5151
-3.9524 -0.1787 0.7970
-3.4458 -1.4072 -3.0949
-3.1236 1.1545 -0.8822
-2.4356 0.5040 2.3837
-2.7578 -2.0577 0.1711
```

## Properties
Space-group type   R-3m
Energy relative to the elements, uncorrected   -1.031 eV per atom
DOS(E_F)   14.531 states/eV per cell


Entry 3:
Ca2NpCrN5 | PBE | optimized geometry

```
Ca2NpCrN5
1.0
-0.1304 2.6063 -2.1525
-0.7525 -5.6389 -4.1241
-10.3952 0.4915 1.2247
N Ca Np Cr
10 4 2 2
Cartesian
-7.1405 -2.1670 -2.1914
-6.2549 -2.4329 -5.2250
-0.6442 -3.2337 -3.8764
-5.5044 0.4500 -1.7798
-9.1180 -3.9152 -4.1884
-0.3037 -0.3314 -0.3829
-1.8895 -0.4805 -3.1254
-4.5861 -2.4284 -2.6626
-3.1784 1.4222 -0.7435
-9.6777 0.0284 -2.0375
-3.3879 -1.0506 -1.0669
-9.0157 -1.4373 -3.8524
-7.3072 -0.5686 -0.2459
-2.6508 -2.0350 -4.9615
-0.4892 -1.8003 -2.1502
-5.8880 -0.9726 -3.4791
-5.5768 -4.0840 -4.6072
-10.0319 1.7476 0.0655
```

## Properties
Space-group type   Cmc2_1
Energy relative to the elements, uncorrected   -0.906 eV per atom
DOS(E_F)   6.492 states/eV per cell


Entry 4:
CaNpCrN3 | PBE | optimized geometry

```
CaNpCrN3
1.0
3.4316 0.0000 0.0000
0.0000 6.9705 0.8347
0.0000 -1.8955 7.4374
Cr Ca Np N
2 2 2 6
Cartesian
2.5737 5.6575 3.7585
0.8579 -0.5825 4.5137
2.5737 4.2816 6.8977
0.8579 0.7934 1.3744
0.8579 4.1433 1.7943
2.5737 0.9317 6.4778
2.5737 2.6888 1.2811
0.8579 2.3862 6.9911
2.5737 0.1664 4.1399
0.8579 4.9086 4.1323
0.8579 -0.7247 6.3822
2.5737 5.7997 1.8899
```

## Properties
Space-group type   P2_1/m
Energy relative to the elements, uncorrected   -0.854 eV per atom
DOS(E_F)   17.635 states/eV per cell